No. 1
A plane-wave DFT calculation with SCAN was carried out for a PBEsol-optimized structure of Ba2SbAs2.

```
10
Lattice="-0.857 -2.500 4.000 -2.268 -6.194 -4.356 7.439 -2.671 -0.076" Properties=species:S:1:pos:R:3 pbc="T T T"
Sb 0.000 0.000 0.000
Sb 2.586 -4.432 -2.216
As 5.718 -4.761 -1.751
As 2.554 -7.129 -3.908
As -0.547 -4.103 -2.681
As 2.618 -1.735 -0.524
Ba 4.232 -4.198 1.155
Ba 4.110 -7.659 -1.033
Ba 0.082 -7.166 -1.588
Ba 0.204 -3.706 0.601
```

Calculated values
- ΔE_f (raw) (meV/atom) = -948.8
- energy (eV/atom) = -32.297
- magnetization (μB/cell) = 0.01
- space group = No. 127
- volume (Å³/atom) = 29.95
- crystal system = tetragonal

=====

No. 2
A plane-wave DFT calculation with SCAN was carried out for a PBEsol-optimized structure of BaSbAs.

```
3
Lattice="4.709 0.000 0.000 0.000 4.818 0.000 0.000 -2.409 4.173" Properties=species:S:1:pos:R:3 pbc="T T T"
Sb 0.964 2.409 1.391
As 0.574 0.000 0.000
Ba 3.170 0.000 2.782
```

Calculated values
- ΔE_f (raw) (meV/atom) = -822.5
- energy (eV/atom) = -33.156
- magnetization (μB/cell) = 0.00
- space group = No. 156
- volume (Å³/atom) = 31.55
- crystal system = trigonal

=====

No. 3
A plane-wave DFT calculation with SCAN was carried out for a PBEsol-optimized structure of BaSb2TeAs.

```
5
Lattice="-1.787 -2.218 4.635 -1.295 -4.555 -2.679 5.024 -2.004 0.978" Properties=species:S:1:pos:R:3 pbc="T T T"
Sb -0.648 -2.277 -1.340
Sb -0.894 -1.109 2.318
As 0.000 0.000 0.000
Te 2.512 -1.002 0.489
Ba 0.971 -4.389 1.467
```

Calculated values
- ΔE_f (raw) (meV/atom) = -241.5
- energy (eV/atom) = -34.544
- magnetization (μB/cell) = 0.00
- space group = No. 123
- volume (Å³/atom) = 32.55
- crystal system = tetragonal

=====

No. 4
A plane-wave DFT calculation with SCAN was carried out for a PBEsol-optimized structure of BaTlSbAs2.

```
5
Lattice="5.751 0.000 0.000 0.000 5.751 0.000 0.000 0.000 6.129" Properties=species:S:1:pos:R:3 pbc="T T T"
Sb 0.000 0.000 3.065
Tl 2.876 2.876 3.065
As 0.000 2.876 0.000
As 2.876 0.000 0.000
Ba 0.000 0.000 0.000
```

Calculated values
- ΔE_f (raw) (meV/atom) = 880.9
- energy (eV/atom) = -37.029
- magnetization (μB/cell) = 0.79
- space group = No. 123
- volume (Å³/atom) = 40.54
- crystal system = tetragonal

=====

No. 5
A plane-wave DFT calculation with SCAN was carried out for a PBEsol-optimized structure of BaScAs4.

```
6
Lattice="-0.725 4.615 -3.337 -3.004 -0.425 -4.873 -5.169 2.462 -0.409" Properties=species:S:1:pos:R:3 pbc="T T T"
As -3.307 2.472 -3.203
As -5.961 3.736 -3.413
As -3.679 4.841 -4.916
As -4.849 2.254 -5.705
Ba -6.674 4.989 -6.464
Sc 0.000 0.000 0.000
```

Calculated values
- energy (eV/atom) = -22.713
- formation energy from the elements (eV/atom) = -0.288
- magnetization (μB/cell) = 0.00
- space group = No. 216
- volume (Å³/atom) = 22.29
- crystal system = cubic

=====

No. 6
A plane-wave DFT calculation with SCAN was carried out for a PBEsol-optimized structure of Ba3ScAs.

```
5
Lattice="5.850 0.000 0.000 0.000 5.850 0.000 0.000 0.000 5.850" Properties=species:S:1:pos:R:3 pbc="T T T"
Sc 0.000 0.000 0.000
As 2.925 2.925 2.925
Ba 0.000 2.925 0.000
Ba 0.000 0.000 2.925
Ba 2.925 0.000 0.000
```

Calculated values
- energy (eV/atom) = -30.075
- formation energy from the elements (eV/atom) = 0.541
- magnetization (μB/cell) = 0.00
- space group = No. 221
- volume (Å³/atom) = 40.05
- crystal system = cubic

=====

No. 7
A plane-wave DFT calculation with SCAN was carried out for a PBEsol-optimized structure of BaScAs.

```
3
Lattice="-2.743 3.393 1.499 0.085 -4.046 2.215 3.568 1.630 2.840" Properties=species:S:1:pos:R:3 pbc="T T T"
As 1.784 0.815 1.420
Ba -0.858 -1.566 1.977
Sc -0.016 1.729 3.158
```

Calculated values
- energy (eV/atom) = -25.486
- formation energy from the elements (eV/atom) = -0.827
- magnetization (μB/cell) = 0.00
- space group = No. 187
- volume (Å³/atom) = 29.76
- crystal system = hexagonal

=====

No. 8
A plane-wave DFT calculation with SCAN was carried out for a PBEsol-optimized structure of BaSc2As2.

```
5
Lattice="-2.720 -2.047 2.782 3.437 -1.956 1.920 0.164 7.117 1.924" Properties=species:S:1:pos:R:3 pbc="T T T"
Sc 1.980 1.580 3.098
Sc -1.099 1.534 3.529
As 0.384 3.759 3.142
As 0.497 -0.645 3.485
Ba 0.000 0.000 0.000
```

Calculated values
- energy (eV/atom) = -22.895
- formation energy from the elements (eV/atom) = -1.214
- magnetization (μB/cell) = 1.51
- space group = No. 139
- volume (Å³/atom) = 25.85
- crystal system = tetragonal